# GaHgI2O

An optimized crystal structure of GaHgI2O (GGA-PBE, Alexandria via LeMat-Bulk).

The structure in POSCAR format:
```
GaHgI2O
1.0
6.077 0.000 0.000
0.000 6.077 0.000
0.000 0.000 4.174
Ga Hg I O
1 1 2 1
Direct
0.000 0.000 0.000 Ga
0.500 0.500 0.500 Hg
0.000 0.500 0.500 I
0.500 0.000 0.500 I
0.500 0.500 0.000 O
```

Output
- E (eV per cell) = -11.07
- polymorph energy (0 for the lowest one) (eV/f.u.) = 2.20
- symmetry = P4/mmm, No. 123